Entry 1:
DFT (GGA-PBE) results for a relaxed structure of Be2OsW.

It has space group I-4m2 (No. 119), with a = 4.1241 Å, b = 4.1241 Å, c = 5.8707 Å, α = 90.00°, β = 90.00° and γ = 90.00°. The inequivalent atoms are Be at (0.0000, 0.0000, 0.0000), Be at (0.0000, 0.5000, 0.2500), Os at (0.0000, 0.5000, 0.7500) and W at (0.0000, 0.0000, 0.5000).

Its magnetization is 0.0 Bohr magnetons per cell. For the calculated density, the calculation gives 13.04 Mg/m³. The value obtained for the electronic total energy is -7.93 eV/atom.



Entry 2:
DFT (GGA-PBE) results for a relaxed structure of BeOsW.

It has space group Fmm2 (No. 42), with a = 3.0283 Å, b = 4.4529 Å, c = 11.9854 Å, α = 90.00°, β = 90.00° and γ = 90.00°. The inequivalent atoms are Be at (0.0000, 0.0000, 0.0000), Os at (0.0000, 0.0000, 0.3484) and W at (0.0000, 0.0000, 0.6633).

Its magnetization is 0.1 Bohr magnetons per cell. Its energy above the most stable polymorph in this dataset is 520 meV per atom. For the calculated density, the calculation gives 15.74 Mg/m³. The value obtained for the electronic total energy is -9.02 eV/atom.